[1]
Zr2Al2Cu: relaxed, PBEsol.

Geometry as POSCAR:
```
Zr2Al2Cu
1.0
6.399 0.000 0.000
0.000 6.399 0.000
0.000 0.000 4.330
Zr Al Cu
4 4 2
Cartesian
1.056 2.144 0.000
2.144 5.343 0.000
4.255 1.056 0.000
5.343 4.255 0.000
0.909 4.108 2.165
2.291 0.909 2.165
4.108 5.491 2.165
5.491 2.291 2.165
0.000 0.000 2.165
3.200 3.200 2.165
```

Computed properties:
As for the electronic total energy: -6.50 eV/atom. Its symmetry is P4/mbm (127). The energy relative to the lowest polymorph listed for this composition comes out at 0.59 kcal/mol of atoms. The density is 5.6 g/cm³. The value obtained for the formation energy from the elements is -361 meV per atom.

---

[2]
CdCoPt: relaxed, PBEsol.

Geometry as POSCAR:
```
CdCoPt
1.0
2.787 0.000 0.000
-1.393 2.413 0.000
0.000 0.000 6.611
Cd Co Pt
1 1 1
Cartesian
0.000 0.000 0.000
0.000 1.609 4.401
1.393 0.804 2.417
```

Computed properties:
As for the electronic total energy: -5.18 eV/atom. Its symmetry is P3m1 (156). The density is 13.7 g/cm³. The value obtained for the formation energy from the elements is 115 meV per atom.

---

[3]
TcAgW: relaxed, PBEsol.

Geometry as POSCAR:
```
TcAgW
1.0
0.000 2.199 6.916
1.536 0.000 6.916
1.536 2.199 0.000
Tc Ag W
1 1 1
Cartesian
0.000 0.000 0.000
1.536 2.199 9.316
1.536 2.199 4.826
```

Computed properties:
As for the electronic total energy: -9.06 eV/atom. Its symmetry is Fmm2 (42). The energy relative to the lowest polymorph listed for this composition comes out at 0.00 kcal/mol of atoms. The density is 13.8 g/cm³. The value obtained for the formation energy from the elements is 402 meV per atom.

---

[4]
TbFeAsO: relaxed, PBEsol.

Geometry as POSCAR:
```
TbFeAsO
1.0
3.855 0.000 0.000
0.000 3.855 0.000
0.000 0.000 8.061
Tb Fe As O
2 2 2 2
Cartesian
0.964 0.964 1.122
2.891 2.891 6.939
0.964 2.891 4.030
2.891 0.964 4.030
0.964 0.964 5.274
2.891 2.891 2.787
0.964 2.891 0.000
2.891 0.964 0.000
```

Computed properties:
As for the electronic total energy: -7.95 eV/atom. Its symmetry is P4/nmm (129). The formation energy from raw total energies comes out at -1.871 eV/atom. The density is 8.5 g/cm³.

---

[5]
PIrAu: relaxed, PBEsol.

Geometry as POSCAR:
```
PIrAu
1.0
2.901 0.000 0.000
-1.451 2.512 0.000
0.000 0.000 6.292
P Ir Au
1 1 1
Cartesian
0.000 0.000 0.000
1.451 0.837 1.626
0.000 1.675 3.987
```

Computed properties:
As for the electronic total energy: -6.46 eV/atom. Its symmetry is P3m1 (156). The density is 15.2 g/cm³. The value obtained for the formation energy from the elements is 50 meV per atom.

---

[6]
KMn2Pt: relaxed, PBEsol.

Geometry as POSCAR:
```
KMn2Pt
1.0
2.923 -4.697 0.000
2.923 4.697 0.000
-1.123 0.000 2.537
K Mn Pt
1 2 1
Cartesian
0.000 0.000 0.000
0.900 2.349 1.269
0.900 -2.349 1.269
2.923 0.000 0.000
```

Computed properties:
As for the electronic total energy: -6.05 eV/atom. Its symmetry is C2/m (12). The energy relative to the lowest polymorph listed for this composition comes out at 7.64 kcal/mol of atoms. The density is 8.2 g/cm³. The value obtained for the formation energy from the elements is 858 meV per atom.

---

[7]
KP3: relaxed, PBEsol.

Geometry as POSCAR:
```
KP3
1.0
4.142 0.000 0.000
0.000 4.142 0.000
0.000 0.000 4.142
K P
1 3
Cartesian
0.000 0.000 0.000
0.000 2.071 2.071
2.071 0.000 2.071
2.071 2.071 0.000
```

Computed properties:
As for the electronic total energy: -4.04 eV/atom. Its symmetry is Pm-3m (221). The energy relative to the lowest polymorph listed for this composition comes out at 0.00 kcal/mol of atoms. The density is 3.1 g/cm³. The value obtained for the formation energy from the elements is 589 meV per atom.

---

[8]
ZrAs3Ir: relaxed, PBEsol.

Geometry as POSCAR:
```
ZrAs3Ir
1.0
4.755 0.000 0.000
0.000 4.755 0.000
0.000 0.000 4.755
Zr As Ir
1 3 1
Cartesian
0.000 0.000 0.000
0.000 2.377 2.377
2.377 0.000 2.377
2.377 2.377 0.000
2.377 2.377 2.377
```

Computed properties:
As for the electronic total energy: -6.35 eV/atom. Its symmetry is Pm-3m (221). The density is 7.9 g/cm³. The value obtained for the formation energy from the elements is 498 meV per atom.

---

[9]
KSb2Br: relaxed, PBEsol.

Geometry as POSCAR:
```
KSb2Br
1.0
0.000 3.877 3.877
3.877 0.000 3.877
3.877 3.877 0.000
K Sb Br
1 2 1
Cartesian
0.000 0.000 0.000
1.939 1.939 1.939
5.816 5.816 5.816
3.877 3.877 3.877
```

Computed properties:
As for the electronic total energy: -2.79 eV/atom. Its symmetry is Fm-3m (225). The energy relative to the lowest polymorph listed for this composition comes out at 18.14 kcal/mol of atoms. The formation energy from raw total energies comes out at 0.241 eV/atom. The density is 5.2 g/cm³.

---

[10]
Be2ZnNi2: relaxed, PBEsol.

Geometry as POSCAR:
```
Be2ZnNi2
1.0
6.172 0.000 0.000
0.000 6.172 0.000
0.000 0.000 2.531
Be Zn Ni
4 2 4
Cartesian
0.779 2.306 0.000
2.306 5.392 0.000
3.865 0.779 0.000
5.392 3.865 0.000
0.000 0.000 0.000
3.086 3.086 0.000
1.023 4.109 1.265
2.063 1.023 1.265
4.109 5.149 1.265
5.149 2.063 1.265
```

Computed properties:
As for the electronic total energy: -4.71 eV/atom. Its symmetry is P4/mbm (127). The density is 6.9 g/cm³. The value obtained for the formation energy from the elements is -335 meV per atom.

---

[11]
Ta2CdPtI: relaxed, PBEsol.

Geometry as POSCAR:
```
Ta2CdPtI
1.0
4.959 0.000 0.000
0.000 4.959 0.000
0.000 0.000 4.874
Ta Cd Pt I
2 1 1 1
Cartesian
0.000 2.480 0.000
2.480 0.000 0.000
0.000 0.000 2.437
2.480 2.480 2.437
2.480 2.480 0.000
```

Computed properties:
As for the electronic total energy: -5.24 eV/atom. Its symmetry is P4/mmm (123). The formation energy from raw total energies comes out at 1.762 eV/atom. The density is 11.0 g/cm³.

---

[12]
TlFeRu2: relaxed, PBEsol.

Geometry as POSCAR:
```
TlFeRu2
1.0
2.966 0.000 0.000
0.000 2.966 0.000
0.000 0.000 6.719
Tl Fe Ru
1 1 2
Cartesian
0.000 0.000 0.000
0.000 0.000 3.359
1.483 1.483 1.982
1.483 1.483 4.736
```

Computed properties:
As for the electronic total energy: -7.55 eV/atom. Its symmetry is P4/mmm (123). The energy relative to the lowest polymorph listed for this composition comes out at 0.00 kcal/mol of atoms. The density is 13.0 g/cm³. The value obtained for the formation energy from the elements is 431 meV per atom.

---

[13]
LaPtRh2: relaxed, PBEsol.

Geometry as POSCAR:
```
LaPtRh2
1.0
-2.046 2.046 4.126
2.046 -2.046 4.126
2.046 2.046 -4.126
La Pt Rh
1 1 2
Cartesian
0.000 0.000 0.000
0.000 2.046 2.063
2.046 0.000 2.063
0.000 0.000 4.126
```

Computed properties:
As for the electronic total energy: -7.51 eV/atom. Its symmetry is I-4m2 (119). The density is 13.0 g/cm³. The value obtained for the formation energy from the elements is -359 meV per atom.

---

[14]
CaZn2Ni: relaxed, PBEsol.

Geometry as POSCAR:
```
CaZn2Ni
1.0
-2.160 2.438 3.220
2.160 -2.438 3.220
2.160 2.438 -3.220
Ca Zn Ni
1 2 1
Cartesian
0.000 0.000 0.000
0.000 0.000 3.125
0.000 2.438 1.334
2.160 0.000 1.945
```

Computed properties:
As for the electronic total energy: -2.89 eV/atom. Its symmetry is Imm2 (44). The density is 5.6 g/cm³. The value obtained for the formation energy from the elements is -27 meV per atom.